Computed, not measured: crystalline K2CrO4 at its relaxed geometry at the PBE with a Hubbard U level of DFT.

Unit cell a=6.1165 b=5.9890 c=7.7884 alpha=90.00 beta=104.50 gamma=90.00
Sites, in units of the cell vectors:
K  0.2096  0.2500  0.0269
K  0.2757  0.2500  0.5414
K  0.7243  0.7500  0.4586
K  0.7904  0.7500  0.9731
Cr  0.2315  0.7500  0.7847
Cr  0.7685  0.2500  0.2153
O  0.0668  0.5251  0.7346
O  0.0668  0.9749  0.7346
O  0.3491  0.7500  0.0020
O  0.4313  0.7500  0.6726
O  0.5687  0.2500  0.3274
O  0.6509  0.2500  0.9980
O  0.9332  0.0251  0.2654
O  0.9332  0.4749  0.2654

DOS at the Fermi energy   0.0 states/eV/cell
Total moment   0.13 μB per formula unit
Volume   276.2 Å³ per cell
Distance to the lowest polymorph of the same formula   23 meV per atom
Crystal system   monoclinic